(1)
Below is a relaxed structure of SrNiPRu, with properties calculated at the GGA-PBE level.

Unit cell a=3.9172 b=3.9172 c=10.6296 alpha=90.00 beta=90.00 gamma=90.00
Fractional positions:
Sr 0.7500 0.7500 0.2750
Sr 0.2500 0.2500 0.7250
Ni 0.2500 0.7500 0.5000
Ni 0.7500 0.2500 0.5000
P 0.7500 0.7500 0.8830
P 0.2500 0.2500 0.1170
Ru 0.7500 0.2500 0.0000
Ru 0.2500 0.7500 0.0000

Results
* crystal system: tetragonal
* DFT total energy: -5.9291 eV per atom
* ΔH_f (0 K): -0.392 eV per atom
* spin magnetization: 0.08 μB per atom

(2)
Below is a relaxed structure of Ac3Pm2Sm5, with properties calculated at the GGA-PBE level.

Unit cell a=11.1656 b=9.9387 c=10.3369 alpha=118.73 beta=122.69 gamma=90.00
Fractional positions:
Ac 0.2500 0.0000 0.0000
Ac 0.7500 0.0000 0.0000
Ac 0.6246 0.3713 0.2491
Ac 0.3754 0.6287 0.7509
Ac 0.1246 0.8778 0.2491
Ac 0.8754 0.1222 0.7509
Pm 0.8599 0.7571 0.7198
Pm 0.1401 0.2429 0.2802
Pm 0.3599 0.9627 0.7198
Pm 0.6401 0.0373 0.2802
Sm 0.2500 0.5000 0.0000
Sm 0.7500 0.5000 0.0000
Sm 0.9930 0.7430 0.4860
Sm 0.5070 0.2570 0.5140
Sm 0.0070 0.2570 0.5140
Sm 0.4930 0.7430 0.4860
Sm 0.8805 0.4758 0.7610
Sm 0.1195 0.5242 0.2390
Sm 0.3805 0.2852 0.7610
Sm 0.6195 0.7148 0.2390

Results
* crystal system: orthorhombic
* DFT total energy: -4.2084 eV per atom
* ΔH_f (0 K): 0.334 eV per atom
* spin magnetization: 0.00 μB per atom

(3)
Below is a relaxed structure of CrSb2Au, with properties calculated at the GGA-PBE level.

Unit cell a=4.6743 b=4.7055 c=3.8819 alpha=90.00 beta=90.00 gamma=90.00
Fractional positions:
Au 0.5000 0.0000 0.5000
Cr 0.0000 0.5000 0.5000
Sb 0.0000 0.0000 0.0000
Sb 0.5000 0.5000 0.0000

Results
* crystal system: orthorhombic
* DFT total energy: -5.0678 eV per atom
* spin magnetization: 0.91 μB per atom
* energy relative to the elements, uncorrected: 0.219 eV/atom

(4)
Below is a relaxed structure of Ta2AsBr, with properties calculated at the GGA-PBE level.

Unit cell a=3.0436 b=3.0436 c=9.7508 alpha=90.00 beta=90.00 gamma=106.64
Fractional positions:
As 0.0000 0.0000 0.4352
Br 0.5000 0.5000 0.8103
Ta 0.0000 0.0000 0.0154
Ta 0.5000 0.5000 0.2390

Results
* crystal system: orthorhombic
* DFT total energy: -7.6073 eV per atom
* spin magnetization: 0.00 μB per atom
* energy above the lowest structure with this stoichiometry: 0.17 eV/f.u.
* energy relative to the elements, uncorrected: -0.100 eV/atom

(5)
Below is a relaxed structure of Zr6TlRh, with properties calculated at the GGA-PBE level.

Unit cell a=8.0451 b=7.7029 c=5.5727 alpha=46.23 beta=43.70 gamma=58.35
Fractional positions:
Zr 0.0065 0.4752 0.7601
Zr 0.7587 0.9927 0.7240
Zr 0.5270 0.2407 0.2251
Zr 0.2413 0.0073 0.2760
Zr 0.9935 0.5248 0.2399
Zr 0.4730 0.7593 0.7749
Tl 0.5000 0.5000 0.5000
Rh 0.0000 0.0000 0.0000

Results
* crystal system: triclinic
* DFT total energy: -7.8314 eV per atom
* ΔH_f (0 K): -0.206 eV per atom
* spin magnetization: 0.00 μB per atom

(6)
Below is a relaxed structure of Hf5In2Fe2Pd, with properties calculated at the GGA-PBE level.

Unit cell a=3.2082 b=10.9676 c=10.9676 alpha=90.00 beta=90.00 gamma=90.00
Fractional positions:
Hf 0.5000 0.2053 0.0680
Hf 0.5000 0.7947 0.9320
Hf 0.5000 0.0680 0.7947
Hf 0.5000 0.7053 0.4320
Hf 0.5000 0.9320 0.2053
Hf 0.5000 0.2947 0.5680
Hf 0.5000 0.5680 0.7053
Hf 0.5000 0.4320 0.2947
Hf 0.5000 0.5000 0.0000
Hf 0.5000 0.0000 0.5000
In 0.0000 0.6761 0.1761
In 0.0000 0.3239 0.8239
In 0.0000 0.1761 0.3239
In 0.0000 0.8239 0.6761
Fe 0.0000 0.1310 0.6310
Fe 0.0000 0.8690 0.3690
Fe 0.0000 0.6310 0.8690
Fe 0.0000 0.3690 0.1310
Pd 0.0000 0.0000 0.0000
Pd 0.0000 0.5000 0.5000

Results
* crystal system: tetragonal
* DFT total energy: -7.9998 eV per atom
* ΔH_f (0 K): -0.264 eV per atom
* spin magnetization: 0.01 μB per atom

(7)
Below is a relaxed structure of PmSmY5, with properties calculated at the GGA-PBE level.

Unit cell a=6.5741 b=6.5741 c=11.8300 alpha=105.49 beta=105.49 gamma=95.41
Fractional positions:
Pm 0.0000 0.0000 0.0000
Pm 0.0000 0.0000 0.5000
Sm 0.4924 0.5076 0.7500
Sm 0.5076 0.4924 0.2500
Y 0.3879 0.0286 0.8358
Y 0.4668 0.7642 0.5360
Y 0.0286 0.3879 0.3358
Y 0.8381 0.1619 0.7500
Y 0.2358 0.5332 0.9640
Y 0.7642 0.4668 0.0360
Y 0.1619 0.8381 0.2500
Y 0.9714 0.6121 0.6642
Y 0.5332 0.2358 0.4640
Y 0.6121 0.9714 0.1642

Results
* crystal system: monoclinic
* DFT total energy: -5.8680 eV per atom
* ΔH_f (0 K): 0.102 eV per atom
* spin magnetization: 0.00 μB per atom
* energy above the lowest structure with this stoichiometry: 0.00 eV/f.u.

(8)
Below is a relaxed structure of MnPb, with properties calculated at the GGA-PBE level.

Unit cell a=3.3139 b=3.3139 c=3.9914 alpha=90.00 beta=90.00 gamma=90.07
Fractional positions:
Mn 0.0000 0.0000 0.0000
Pb 0.5000 0.5000 0.5000

Results
* crystal system: tetragonal
* DFT total energy: -5.9378 eV per atom
* ΔH_f (0 K): 0.501 eV per atom
* spin magnetization: 1.94 μB per atom

(9)
Below is a relaxed structure of Pu2PaP, with properties calculated at the GGA-PBE level.

Unit cell a=4.3499 b=4.3291 c=4.3291 alpha=90.00 beta=90.00 gamma=90.00
Fractional positions:
P 0.5000 0.5000 0.5000
Pa 0.5000 0.0000 0.0000
Pu 0.0000 0.0000 0.5000
Pu 0.0000 0.5000 0.0000

Results
* crystal system: tetragonal
* DFT total energy: -11.3069 eV per atom
* ΔH_f (0 K): -0.414 eV per atom
* spin magnetization: 2.31 μB per atom
* energy above the lowest structure with this stoichiometry: 0.00 eV/f.u.

(10)
Below is a relaxed structure of PmGd2Bi, with properties calculated at the GGA-PBE level.

Unit cell a=4.1206 b=4.1206 c=7.3412 alpha=90.00 beta=90.00 gamma=90.00
Fractional positions:
Gd 0.0000 0.0000 0.7769
Gd 0.0000 0.0000 0.2231
Bi 0.5000 0.5000 0.0000
Pm 0.5000 0.5000 0.5000

Results
* crystal system: tetragonal
* DFT total energy: -9.5967 eV per atom
* ΔH_f (0 K): -0.398 eV per atom
* spin magnetization: 3.96 μB per atom
* energy above the lowest structure with this stoichiometry: 0.05 eV/f.u.

(11)
Below is a relaxed structure of PuIn2Sb2, with properties calculated at the GGA-PBE level.

Unit cell a=4.4027 b=4.4343 c=13.9141 alpha=90.00 beta=99.10 gamma=90.00
Fractional positions:
Pu 0.3387 0.2500 0.6774
Pu 0.6613 0.7500 0.3226
In 0.0474 0.7500 0.0949
In 0.4453 0.7500 0.8907
In 0.9526 0.2500 0.9051
In 0.5547 0.2500 0.1093
Sb 0.7498 0.2500 0.4997
Sb 0.2502 0.7500 0.5003
Sb 0.8583 0.7500 0.7165
Sb 0.1417 0.2500 0.2835

Results
* crystal system: orthorhombic
* DFT total energy: -5.8881 eV per atom
* spin magnetization: 1.06 μB per atom
* energy relative to the elements, uncorrected: -0.277 eV/atom

(12)
Below is a relaxed structure of Tb3CeSm8, with properties calculated at the GGA-PBE level.

Unit cell a=8.3984 b=8.3984 c=8.3984 alpha=94.15 beta=117.63 gamma=117.63
Fractional positions:
Tb 0.5000 0.7500 0.2500
Tb 0.5000 0.2500 0.7500
Tb 0.0000 0.5000 0.5000
Ce 0.0000 0.0000 0.0000
Sm 0.4730 0.2151 0.2151
Sm 0.5270 0.7421 0.7421
Sm 0.0000 0.7849 0.2579
Sm 0.0000 0.2579 0.7849
Sm 0.2450 0.3629 0.3629
Sm 0.7550 0.1178 0.1178
Sm 0.0000 0.6371 0.8822
Sm 0.0000 0.8822 0.6371

Results
* crystal system: tetragonal
* DFT total energy: -4.2285 eV per atom
* ΔH_f (0 K): 0.570 eV per atom
* spin magnetization: 0.00 μB per atom